! LaHfMo2Pt (PBE, optimized geometry); values from VASP
! Energy = -6.949 eV per atom
! Calculated volume = 126.1 Å³/cell
&SYSTEM
  ibrav = 0, nat = 5, ntyp = 4
/
ATOMIC_SPECIES
La 138.91 La.upf
Hf 178.49 Hf.upf
Mo 95.94 Mo.upf
Pt 195.08 Pt.upf
ATOMIC_POSITIONS crystal
La 0.0000 0.0000 0.0000
Hf 0.0000 0.0000 0.5000
Mo 0.0000 0.5000 0.5000
Mo 0.5000 0.0000 0.5000
Pt 0.5000 0.5000 0.0000
CELL_PARAMETERS angstrom
4.7413 0.0000 0.0000
0.0000 4.7413 0.0000
0.0000 0.0000 5.6074

! LaHf2MoS (PBE, optimized geometry); values from VASP
! Energy = -7.457 eV per atom
! Calculated volume = 141.4 Å³/cell
! ΔE_f (raw) = 0.50 eV/atom
&SYSTEM
  ibrav = 0, nat = 5, ntyp = 4
/
ATOMIC_SPECIES
La 138.91 La.upf
Hf 178.49 Hf.upf
Mo 95.94 Mo.upf
S 32.06 S.upf
ATOMIC_POSITIONS crystal
La 0.0000 0.0000 0.0000
Hf 0.0000 0.5000 0.5000
Hf 0.5000 0.0000 0.5000
Mo 0.0000 0.0000 0.5000
S 0.5000 0.5000 0.0000
CELL_PARAMETERS angstrom
4.8916 0.0000 0.0000
0.0000 4.8916 0.0000
0.0000 0.0000 5.9110

! La2HfMoSe (PBE, optimized geometry); values from VASP
! Energy = -5.737 eV per atom
! Calculated volume = 161.9 Å³/cell
! ΔE_f (raw) = 1.09 eV/atom
&SYSTEM
  ibrav = 0, nat = 5, ntyp = 4
/
ATOMIC_SPECIES
La 138.91 La.upf
Hf 178.49 Hf.upf
Mo 95.94 Mo.upf
Se 78.96 Se.upf
ATOMIC_POSITIONS crystal
La 0.0000 0.5000 0.0000
La 0.5000 0.0000 0.0000
Hf 0.0000 0.0000 0.0000
Mo 0.5000 0.5000 0.5000
Se 0.0000 0.0000 0.5000
CELL_PARAMETERS angstrom
5.7635 0.0000 0.0000
0.0000 5.7635 0.0000
0.0000 0.0000 4.8730

! LaHfTaMo2 (PBE, optimized geometry); values from VASP
! Energy = -8.286 eV per atom
! Calculated volume = 122.5 Å³/cell
&SYSTEM
  ibrav = 0, nat = 5, ntyp = 4
/
ATOMIC_SPECIES
La 138.91 La.upf
Hf 178.49 Hf.upf
Ta 180.95 Ta.upf
Mo 95.94 Mo.upf
ATOMIC_POSITIONS crystal
La 0.0000 0.0000 0.0000
Hf 0.5000 0.5000 0.5000
Ta 0.5000 0.5000 0.0000
Mo 0.0000 0.5000 0.5000
Mo 0.5000 0.0000 0.5000
CELL_PARAMETERS angstrom
4.9290 0.0000 0.0000
0.0000 4.9290 0.0000
0.0000 0.0000 5.0415

! LaHfTcMo2 (PBE, optimized geometry); values from VASP
! Energy = -7.524 eV per atom
! Calculated volume = 108.0 Å³/cell
&SYSTEM
  ibrav = 0, nat = 5, ntyp = 4
/
ATOMIC_SPECIES
La 138.91 La.upf
Hf 178.49 Hf.upf
Tc 98.00 Tc.upf
Mo 95.94 Mo.upf
ATOMIC_POSITIONS crystal
La 0.0000 0.0000 0.0000
Hf 0.5000 0.5000 0.5000
Tc 0.0000 0.0000 0.5000
Mo 0.0000 0.5000 0.0000
Mo 0.5000 0.0000 0.0000
CELL_PARAMETERS angstrom
4.7787 0.0000 0.0000
0.0000 4.7787 0.0000
0.0000 0.0000 4.7278

! LaHfTe2Mo (PBE, optimized geometry); values from VASP
! Energy = -5.108 eV per atom
! Calculated volume = 169.7 Å³/cell
! ΔE_f (raw) = 1.29 eV/atom
&SYSTEM
  ibrav = 0, nat = 5, ntyp = 4
/
ATOMIC_SPECIES
La 138.91 La.upf
Hf 178.49 Hf.upf
Te 127.60 Te.upf
Mo 95.94 Mo.upf
ATOMIC_POSITIONS crystal
La 0.0000 0.0000 0.0000
Hf 0.5000 0.5000 0.5000
Te 0.0000 0.5000 0.0000
Te 0.5000 0.0000 0.0000
Mo 0.0000 0.0000 0.5000
CELL_PARAMETERS angstrom
5.9112 0.0000 0.0000
0.0000 5.9112 0.0000
0.0000 0.0000 4.8557

! LaHfTl2Mo (PBE, optimized geometry); values from VASP
! Energy = -4.471 eV per atom
! Calculated volume = 163.4 Å³/cell
&SYSTEM
  ibrav = 0, nat = 5, ntyp = 4
/
ATOMIC_SPECIES
La 138.91 La.upf
Hf 178.49 Hf.upf
Tl 204.38 Tl.upf
Mo 95.94 Mo.upf
ATOMIC_POSITIONS crystal
La 0.0000 0.0000 0.0000
Hf 0.0000 0.0000 0.5000
Tl 0.0000 0.5000 0.5000
Tl 0.5000 0.0000 0.5000
Mo 0.5000 0.5000 0.0000
CELL_PARAMETERS angstrom
5.4475 0.0000 0.0000
0.0000 5.4475 0.0000
0.0000 0.0000 5.5059

! LaHfMoW2 (PBE, optimized geometry); values from VASP
! Energy = -7.930 eV per atom
! Calculated volume = 124.3 Å³/cell
&SYSTEM
  ibrav = 0, nat = 5, ntyp = 4
/
ATOMIC_SPECIES
La 138.91 La.upf
Hf 178.49 Hf.upf
Mo 95.94 Mo.upf
W 183.84 W.upf
ATOMIC_POSITIONS crystal
La 0.0000 0.0000 0.0000
Hf 0.0000 0.0000 0.5000
Mo 0.5000 0.5000 0.0000
W 0.0000 0.5000 0.5000
W 0.5000 0.0000 0.5000
CELL_PARAMETERS angstrom
4.8012 0.0000 0.0000
0.0000 4.8012 0.0000
0.0000 0.0000 5.3905

! La3HfN4 (PBE, optimized geometry); values from VASP
! Energy = -8.655 eV per atom
! Calculated volume = 318.6 Å³/cell
! Polymorph energy (0 for the lowest one) = 0.0 meV/atom
! ΔE_f (raw) = -1.40 eV/atom
&SYSTEM
  ibrav = 0, nat = 16, ntyp = 3
/
ATOMIC_SPECIES
La 138.91 La.upf
Hf 178.49 Hf.upf
N 14.01 N.upf
ATOMIC_POSITIONS crystal
La 0.0000 0.1616 0.0000
La 0.2484 0.6669 0.9979
La 0.2516 0.3331 0.4979
La 0.5000 0.8384 0.5000
La 0.7484 0.3331 0.4979
La 0.7516 0.6669 0.9979
Hf 0.0000 0.8327 0.4828
Hf 0.5000 0.1673 0.9828
N 0.0000 0.1314 0.5627
N 0.0000 0.8388 0.1280
N 0.2208 0.6863 0.5640
N 0.2792 0.3137 0.0640
N 0.5000 0.1612 0.6280
N 0.5000 0.8686 0.0627
N 0.7208 0.3137 0.0640
N 0.7792 0.6863 0.5640
CELL_PARAMETERS angstrom
7.9963 0.0000 0.0000
0.0000 6.9067 0.0000
0.0000 0.0000 5.7690

! LaHf2N2 (PBE, optimized geometry); values from VASP
! Energy = -9.234 eV per atom
! Calculated volume = 163.4 Å³/cell
! Polymorph energy (0 for the lowest one) = 0.0 meV/atom
! ΔE_f (raw) = -0.94 eV/atom
&SYSTEM
  ibrav = 0, nat = 10, ntyp = 3
/
ATOMIC_SPECIES
La 138.91 La.upf
Hf 178.49 Hf.upf
N 14.01 N.upf
ATOMIC_POSITIONS crystal
La 0.0000 0.0000 0.0000
La 0.5000 0.5000 0.5000
Hf 0.0000 0.0000 0.3323
Hf 0.0000 0.0000 0.6677
Hf 0.5000 0.5000 0.1677
Hf 0.5000 0.5000 0.8323
N 0.0000 0.5000 0.2500
N 0.0000 0.5000 0.7500
N 0.5000 0.0000 0.2500
N 0.5000 0.0000 0.7500
CELL_PARAMETERS angstrom
4.2007 0.0000 0.0000
0.0000 4.2007 0.0000
0.0000 0.0000 9.2589

! LaHfN3 (PBE, optimized geometry); values from VASP
! Energy = -6.999 eV per atom
! Calculated volume = 77.4 Å³/cell
! ΔE_f (raw) = 0.97 eV/atom
&SYSTEM
  ibrav = 0, nat = 5, ntyp = 3
/
ATOMIC_SPECIES
La 138.91 La.upf
Hf 178.49 Hf.upf
N 14.01 N.upf
ATOMIC_POSITIONS crystal
La 0.0000 0.0000 0.0000
Hf 0.5000 0.5000 0.5000
N 0.0000 0.0000 0.5000
N 0.0000 0.5000 0.0000
N 0.5000 0.0000 0.0000
CELL_PARAMETERS angstrom
4.2613 0.0000 0.0000
0.0000 4.2613 0.0000
0.0000 0.0000 4.2613

! LaHfN2 (PBE, optimized geometry); values from VASP
! Energy = -8.424 eV per atom
! Calculated volume = 212.7 Å³/cell
! ΔE_f (raw) = -0.54 eV/atom
&SYSTEM
  ibrav = 0, nat = 16, ntyp = 3
/
ATOMIC_SPECIES
La 138.91 La.upf
Hf 178.49 Hf.upf
N 14.01 N.upf
ATOMIC_POSITIONS crystal
La 0.0000 0.0000 0.0000
La 0.0000 0.5000 0.5000
La 0.5000 0.0000 0.5000
La 0.5000 0.5000 0.0000
Hf 0.0000 0.0000 0.5000
Hf 0.0000 0.5000 0.0000
Hf 0.5000 0.0000 0.0000
Hf 0.5000 0.5000 0.5000
N 0.2500 0.2500 0.2500
N 0.2500 0.2500 0.7500
N 0.2500 0.7500 0.2500
N 0.2500 0.7500 0.7500
N 0.7500 0.2500 0.2500
N 0.7500 0.2500 0.7500
N 0.7500 0.7500 0.2500
N 0.7500 0.7500 0.7500
CELL_PARAMETERS angstrom
5.9689 0.0000 0.0000
0.0000 5.9689 0.0000
0.0000 0.0000 5.9689

! La2HfN3 (PBE, optimized geometry); values from VASP
! Energy = -8.858 eV per atom
! Calculated volume = 422.9 Å³/cell
! ΔE_f (raw) = -1.39 eV/atom
&SYSTEM
  ibrav = 0, nat = 24, ntyp = 3
/
ATOMIC_SPECIES
La 138.91 La.upf
Hf 178.49 Hf.upf
N 14.01 N.upf
ATOMIC_POSITIONS crystal
La 0.0291 0.4265 0.8592
La 0.1010 0.3414 0.4239
La 0.3414 0.1010 0.9239
La 0.4265 0.0291 0.3592
La 0.5735 0.9709 0.6408
La 0.6586 0.8990 0.0761
La 0.8990 0.6586 0.5761
La 0.9709 0.5735 0.1408
Hf 0.2836 0.2886 0.1669
Hf 0.2886 0.2836 0.6669
Hf 0.7114 0.7164 0.3331
Hf 0.7164 0.7114 0.8331
N 0.0130 0.9870 0.2500
N 0.0870 0.3018 0.0401
N 0.1656 0.5062 0.6142
N 0.3018 0.0870 0.5401
N 0.3702 0.6298 0.2500
N 0.4938 0.8344 0.8858
N 0.5062 0.1656 0.1142
N 0.6298 0.3702 0.7500
N 0.6982 0.9130 0.4599
N 0.8344 0.4938 0.3858
N 0.9130 0.6982 0.9599
N 0.9870 0.0130 0.7500
CELL_PARAMETERS angstrom
2.9543 -5.7132 0.0000
2.9543 5.7132 0.0000
-0.7355 0.0000 12.5287

! La3HfN4 (PBE, optimized geometry); values from VASP
! Energy = -8.599 eV per atom
! Calculated volume = 141.0 Å³/cell
! Polymorph energy (0 for the lowest one) = 56.0 meV/atom
! ΔE_f (raw) = -1.34 eV/atom
&SYSTEM
  ibrav = 0, nat = 8, ntyp = 3
/
ATOMIC_SPECIES
La 138.91 La.upf
Hf 178.49 Hf.upf
N 14.01 N.upf
ATOMIC_POSITIONS crystal
La 0.1670 0.1670 0.6660
La 0.1670 0.6660 0.1670
La 0.6660 0.1670 0.1670
Hf 0.6320 0.6320 0.6320
N 0.1545 0.1545 0.1545
N 0.2415 0.6692 0.6692
N 0.6692 0.2415 0.6692
N 0.6692 0.6692 0.2415
CELL_PARAMETERS angstrom
3.6816 2.1256 3.0025
-3.6816 2.1256 3.0025
0.0000 -4.2512 3.0025

! LaHf2N2 (PBE, optimized geometry); values from VASP
! Energy = -8.007 eV per atom
! Calculated volume = 149.2 Å³/cell
! Polymorph energy (0 for the lowest one) = 1227.4 meV/atom
! ΔE_f (raw) = 0.29 eV/atom
&SYSTEM
  ibrav = 0, nat = 10, ntyp = 3
/
ATOMIC_SPECIES
La 138.91 La.upf
Hf 178.49 Hf.upf
N 14.01 N.upf
ATOMIC_POSITIONS crystal
La 0.0000 0.0000 0.0000
La 0.5000 0.5000 0.0000
Hf 0.1376 0.3624 0.0000
Hf 0.3624 0.8624 0.0000
Hf 0.6377 0.1376 0.0000
Hf 0.8624 0.6377 0.0000
N 0.1367 0.6367 0.5000
N 0.3633 0.1367 0.5000
N 0.6367 0.8633 0.5000
N 0.8633 0.3633 0.5000
CELL_PARAMETERS angstrom
7.1714 0.0000 0.0000
0.0000 7.1714 0.0000
0.0000 0.0000 2.9010

! La3HfN (PBE, optimized geometry); values from VASP
! Energy = -5.198 eV per atom
! Calculated volume = 172.0 Å³/cell
! Polymorph energy (0 for the lowest one) = 1773.1 meV/atom
! ΔE_f (raw) = 1.41 eV/atom
&SYSTEM
  ibrav = 0, nat = 5, ntyp = 3
/
ATOMIC_SPECIES
La 138.91 La.upf
Hf 178.49 Hf.upf
N 14.01 N.upf
ATOMIC_POSITIONS crystal
La 0.0000 0.0000 0.5000
La 0.0000 0.5000 0.0000
La 0.5000 0.0000 0.0000
Hf 0.0000 0.0000 0.0000
N 0.5000 0.5000 0.5000
CELL_PARAMETERS angstrom
5.5611 0.0000 0.0000
0.0000 5.5611 0.0000
0.0000 0.0000 5.5611

! LaHfN2 (PBE, optimized geometry); values from VASP
! Energy = -9.232 eV per atom
! Calculated volume = 291.4 Å³/cell
! ΔE_f (raw) = -1.35 eV/atom
&SYSTEM
  ibrav = 0, nat = 16, ntyp = 3
/
ATOMIC_SPECIES
La 138.91 La.upf
Hf 178.49 Hf.upf
N 14.01 N.upf
ATOMIC_POSITIONS crystal
La 0.0000 0.0000 0.0000
La 0.0000 0.5000 0.2500
La 0.5000 0.0000 0.7500
La 0.5000 0.5000 0.5000
Hf 0.0000 0.0000 0.5000
Hf 0.0000 0.5000 0.7500
Hf 0.5000 0.0000 0.2500
Hf 0.5000 0.5000 0.0000
N 0.1912 0.2500 0.6250
N 0.2500 0.6912 0.8750
N 0.2500 0.8088 0.3750
N 0.3088 0.2500 0.1250
N 0.6912 0.7500 0.1250
N 0.7500 0.1912 0.3750
N 0.7500 0.3088 0.8750
N 0.8088 0.7500 0.6250
CELL_PARAMETERS angstrom
5.3907 0.0000 0.0000
0.0000 5.3907 0.0000
0.0000 0.0000 10.0271

! LaHfN3 (PBE, optimized geometry); values from VASP
! Energy = -8.824 eV per atom
! Calculated volume = 72.4 Å³/cell
! ΔE_f (raw) = -0.85 eV/atom
&SYSTEM
  ibrav = 0, nat = 5, ntyp = 3
/
ATOMIC_SPECIES
La 138.91 La.upf
Hf 178.49 Hf.upf
N 14.01 N.upf
ATOMIC_POSITIONS crystal
La 0.0000 0.0000 0.0000
Hf 0.5000 0.5000 0.5000
N 0.0000 0.5000 0.5000
N 0.5000 0.0000 0.5000
N 0.5000 0.5000 0.0000
CELL_PARAMETERS angstrom
4.1688 0.0000 0.0000
0.0000 4.1688 0.0000
0.0000 0.0000 4.1688

! LaHf3N4 (PBE, optimized geometry); values from VASP
! Energy = -10.179 eV per atom
! Calculated volume = 207.5 Å³/cell
! ΔE_f (raw) = -1.67 eV/atom
&SYSTEM
  ibrav = 0, nat = 16, ntyp = 3
/
ATOMIC_SPECIES
La 138.91 La.upf
Hf 178.49 Hf.upf
N 14.01 N.upf
ATOMIC_POSITIONS crystal
La 0.3333 0.6667 0.2500
La 0.6667 0.3333 0.7500
Hf 0.0000 0.0000 0.0000
Hf 0.0000 0.0000 0.5000
Hf 0.3333 0.6667 0.6173
Hf 0.3333 0.6667 0.8827
Hf 0.6667 0.3333 0.1173
Hf 0.6667 0.3333 0.3827
N 0.0000 0.0000 0.1691
N 0.0000 0.0000 0.3309
N 0.0000 0.0000 0.6691
N 0.0000 0.0000 0.8309
N 0.3333 0.6667 0.0576
N 0.3333 0.6667 0.4424
N 0.6667 0.3333 0.5576
N 0.6667 0.3333 0.9424
CELL_PARAMETERS angstrom
3.2763 0.0000 0.0000
-1.6381 2.8374 0.0000
0.0000 0.0000 22.3250

! LaHfN2 (PBE, optimized geometry); values from VASP
! Energy = -9.330 eV per atom
! Calculated volume = 173.9 Å³/cell
! ΔE_f (raw) = -1.45 eV/atom
&SYSTEM
  ibrav = 0, nat = 12, ntyp = 3
/
ATOMIC_SPECIES
La 138.91 La.upf
Hf 178.49 Hf.upf
N 14.01 N.upf
ATOMIC_POSITIONS crystal
La 0.0000 0.0000 0.0000
La 0.3333 0.6667 0.6667
La 0.6667 0.3333 0.3333
Hf 0.0000 0.0000 0.1723
Hf 0.3333 0.6667 0.8390
Hf 0.6667 0.3333 0.5057
N 0.0000 0.0000 0.5719
N 0.0000 0.0000 0.7722
N 0.3333 0.6667 0.2385
N 0.3333 0.6667 0.4389
N 0.6667 0.3333 0.1055
N 0.6667 0.3333 0.9052
CELL_PARAMETERS angstrom
3.3194 0.0000 0.0000
-1.6597 2.8747 0.0000
0.0000 0.0000 18.2195

! La3HfN (PBE, optimized geometry); values from VASP
! Energy = -6.971 eV per atom
! Calculated volume = 133.8 Å³/cell
! Polymorph energy (0 for the lowest one) = 0.0 meV/atom
! ΔE_f (raw) = -0.36 eV/atom
&SYSTEM
  ibrav = 0, nat = 5, ntyp = 3
/
ATOMIC_SPECIES
La 138.91 La.upf
Hf 178.49 Hf.upf
N 14.01 N.upf
ATOMIC_POSITIONS crystal
La 0.0000 0.0000 0.5000
La 0.0000 0.5000 0.0000
La 0.5000 0.0000 0.0000
Hf 0.5000 0.5000 0.5000
N 0.0000 0.0000 0.0000
CELL_PARAMETERS angstrom
5.1149 0.0000 0.0000
0.0000 5.1149 0.0000
0.0000 0.0000 5.1149

! LaHfN2 (PBE, optimized geometry); values from VASP
! Energy = -9.250 eV per atom
! Calculated volume = 302.2 Å³/cell
! ΔE_f (raw) = -1.37 eV/atom
&SYSTEM
  ibrav = 0, nat = 16, ntyp = 3
/
ATOMIC_SPECIES
La 138.91 La.upf
Hf 178.49 Hf.upf
N 14.01 N.upf
ATOMIC_POSITIONS crystal
La 0.1209 0.2500 0.1149
La 0.3791 0.7500 0.6149
La 0.6209 0.2500 0.3851
La 0.8791 0.7500 0.8851
Hf 0.1311 0.2500 0.4252
Hf 0.3689 0.7500 0.9252
Hf 0.6311 0.2500 0.0748
Hf 0.8689 0.7500 0.5748
N 0.1014 0.2500 0.5746
N 0.1524 0.2500 0.9266
N 0.3476 0.7500 0.4266
N 0.3986 0.7500 0.0746
N 0.6014 0.2500 0.9254
N 0.6524 0.2500 0.5734
N 0.8476 0.7500 0.0734
N 0.8986 0.7500 0.4254
CELL_PARAMETERS angstrom
6.7234 0.0000 0.0000
0.0000 3.2766 0.0000
0.0000 0.0000 13.7156

! LaHfNbN3 (PBE, optimized geometry); values from VASP
! Energy = -9.754 eV per atom
! Calculated volume = 160.6 Å³/cell
! ΔE_f (raw) = -1.43 eV/atom
&SYSTEM
  ibrav = 0, nat = 12, ntyp = 4
/
ATOMIC_SPECIES
La 138.91 La.upf
Hf 178.49 Hf.upf
Nb 92.91 Nb.upf
N 14.01 N.upf
ATOMIC_POSITIONS crystal
La 0.1436 0.2500 0.1919
La 0.8564 0.7500 0.8081
Hf 0.2676 0.7500 0.5482
Hf 0.7324 0.2500 0.4518
Nb 0.3797 0.2500 0.8640
Nb 0.6203 0.7500 0.1360
N 0.0650 0.2500 0.6490
N 0.2598 0.7500 0.9865
N 0.4676 0.7500 0.3536
N 0.5324 0.2500 0.6464
N 0.7402 0.2500 0.0135
N 0.9350 0.7500 0.3510
CELL_PARAMETERS angstrom
5.7645 0.0000 0.0000
0.0000 3.3224 0.0000
-1.9604 0.0000 8.3861

! LaNd2HfN4 (PBE, optimized geometry); values from VASP
! Energy = -8.633 eV per atom
! Calculated volume = 126.7 Å³/cell
! ΔE_f (raw) = -1.42 eV/atom
&SYSTEM
  ibrav = 0, nat = 8, ntyp = 4
/
ATOMIC_SPECIES
La 138.91 La.upf
Nd 144.24 Nd.upf
Hf 178.49 Hf.upf
N 14.01 N.upf
ATOMIC_POSITIONS crystal
La 0.0000 0.0000 0.0000
Nd 0.5000 0.0000 0.5000
Nd 0.5000 0.5000 0.0000
Hf 0.0000 0.5000 0.5000
N 0.2234 0.0000 0.7213
N 0.2312 0.5000 0.2750
N 0.7688 0.5000 0.7250
N 0.7766 0.0000 0.2787
CELL_PARAMETERS angstrom
6.1369 0.0000 0.0000
0.0000 3.5271 0.0000
-2.0264 0.0000 5.8553